Record 1
This record from OQMD describes an optimized crystal structure of PuCu. The functional is PBE.

Cell: 4.345 4.345 4.345 Å, 60.00 60.00 60.00°
Each line ends with the local moment (μB).
Fractional coordinates of all 2 atoms:
Cu 0.000 0.000 0.000  -0.15
Pu 0.250 0.250 0.250  0.62

Computed properties:
Energy ... -13.0 eV for the cell shown
ΔH_f (0 K) ... 2.4115 eV per atom
M_tot ... 0.099 μB per formula unit
SG ... F-43m

Record 2
This record from OQMD describes an optimized crystal structure of RbPuCuTeSe2. The functional is PBE.

Cell: 9.095 4.171 10.525 Å, 90.00 111.02 90.00°
Each line ends with the local moment (μB).
Fractional coordinates of all 12 atoms:
Se 0.962 0.750 0.138  -0.16
Se 0.038 0.250 0.862  -0.16
Se 0.602 0.250 0.838  -0.14
Se 0.398 0.750 0.162  -0.14
Pu 0.817 0.750 0.851  4.84
Pu 0.183 0.250 0.149  4.84
Rb 0.273 0.750 0.755  -0.01
Rb 0.727 0.250 0.245  -0.01
Cu 0.578 0.250 0.594  -0.09
Cu 0.422 0.750 0.406  -0.09
Te 0.271 0.250 0.457  -0.10
Te 0.729 0.750 0.543  -0.10

Computed properties:
Energy ... -70.3 eV for the cell shown
M_tot ... 4.234 μB per formula unit
SG ... P2_1/m

Record 3
This record from OQMD describes an optimized crystal structure of RbPuCuTe2Se. The functional is PBE.

Cell: 9.269 4.251 10.640 Å, 90.00 111.33 90.00°
Each line ends with the local moment (μB).
Fractional coordinates of all 12 atoms:
Te 0.086 0.250 0.348  -0.16
Te 0.777 0.250 0.953  -0.10
Te 0.914 0.750 0.652  -0.16
Te 0.223 0.750 0.047  -0.10
Cu 0.921 0.750 0.904  -0.09
Cu 0.079 0.250 0.096  -0.09
Pu 0.677 0.250 0.647  4.89
Pu 0.323 0.750 0.353  4.89
Se 0.532 0.250 0.362  -0.16
Se 0.468 0.750 0.638  -0.16
Rb 0.260 0.250 0.767  -0.01
Rb 0.740 0.750 0.233  -0.01

Computed properties:
Energy ... -68.3 eV for the cell shown
M_tot ... 4.211 μB per formula unit
SG ... P2_1/m

Record 4
This record from OQMD describes an optimized crystal structure of RbPuCuTe3. The functional is PBE.

Cell: 8.483 8.483 11.342 Å, 90.00 90.00 150.02°
Each line ends with the local moment (μB).
Fractional coordinates of all 12 atoms:
Te 0.565 0.435 0.750  -0.15
Te 0.877 0.123 0.561  -0.17
Te 0.877 0.123 0.939  -0.17
Te 0.123 0.877 0.439  -0.17
Te 0.123 0.877 0.061  -0.17
Te 0.435 0.565 0.250  -0.15
Pu 0.500 0.500 0.000  4.88
Pu 0.500 0.500 0.500  4.90
Cu 0.969 0.031 0.750  -0.14
Cu 0.031 0.969 0.250  -0.14
Rb 0.249 0.751 0.750  -0.01
Rb 0.751 0.249 0.250  -0.01

Computed properties:
Energy ... -66.4 eV for the cell shown
M_tot ... 4.001 μB per formula unit
SG ... Cmcm

M_tot of number 1 (PuCu)?
0.099 μB per formula unit